The following is a DFT calculation (PBE) of an optimized crystal structure of TaSi2Ru.

Calculated values
The total magnetic moment comes out at 0.0000 μB/atom. The value obtained for the formation energy without anion corrections is -151 meV per atom. The total DFT energy (no corrections) comes out at -8.145 eV/atom.

```
TaSi2Ru
1.0
8.285 -0.003 -0.002
7.770 2.877 -0.002
7.770 1.391 2.518
Si Ta Ru
2 1 1
Direct
0.997 0.997 0.997 Si
0.747 0.747 0.747 Si
0.499 0.499 0.499 Ta
0.257 0.257 0.257 Ru
```

=====

The following is a DFT calculation (PBE) of an optimized crystal structure of BiTeC.

Calculated values
The total magnetic moment comes out at 0.0000 μB/atom. As for the relative energy among the computed polymorphs: 36.59 kJ per mole of atoms. The value obtained for the formation energy without anion corrections is 934 meV per atom. The total DFT energy (no corrections) comes out at -4.482 eV/atom.

```
BiTeC
1.0
3.330 0.000 0.000
0.000 3.644 0.000
0.000 0.000 6.042
C Te Bi
1 1 1
Direct
0.500 0.500 0.934 C
0.000 0.500 0.170 Te
0.500 0.000 0.678 Bi
```

=====

The following is a DFT calculation (PBE) of an optimized crystal structure of Al2OsCl.

Calculated values
The total magnetic moment comes out at 0.0000 μB/atom. As for the relative energy among the computed polymorphs: 30.31 kJ per mole of atoms. The value obtained for the formation energy without anion corrections is -162 meV per atom. The total DFT energy (no corrections) comes out at -5.302 eV/atom.

```
Al2OsCl
1.0
-3.665 3.085 -0.673
0.252 -0.290 -2.705
-3.125 -3.690 0.105
Al Cl Os
2 1 1
Direct
0.000 0.250 0.875 Al
0.500 0.249 0.375 Al
0.000 0.252 0.375 Cl
0.500 0.749 0.875 Os
```

=====

The following is a DFT calculation (PBE) of an optimized crystal structure of TaTc2Ag.

Calculated values
The total magnetic moment comes out at 0.0000 μB/atom. As for the relative energy among the computed polymorphs: 2.34 kJ per mole of atoms. Its formation enthalpy at 0 K is 199.6 meV/atom. The total DFT energy (no corrections) comes out at -8.659 eV/atom.

```
TaTc2Ag
1.0
-3.640 -1.713 0.118
1.559 -3.413 -1.458
0.701 -1.237 3.644
Tc Ag Ta
2 1 1
Direct
0.500 0.500 0.000 Tc
0.000 0.000 0.000 Tc
0.500 0.000 0.500 Ag
0.000 0.500 0.500 Ta
```

=====

The following is a DFT calculation (PBE) of an optimized crystal structure of PmDyThAl.

Calculated values
The total magnetic moment comes out at 0.0001 μB/atom. Its formation enthalpy at 0 K is 10.9 meV/atom. The total DFT energy (no corrections) comes out at -5.118 eV/atom.

```
PmDyThAl
1.0
-5.156 -1.559 -0.575
-1.220 -5.270 -0.288
-2.575 -2.413 4.111
Th Al Pm Dy
1 1 1 1
Direct
0.000 0.000 0.000 Th
0.250 0.250 0.250 Al
0.750 0.750 0.750 Pm
0.500 0.500 0.500 Dy
```

=====

The following is a DFT calculation (PBE) of an optimized crystal structure of Ca2HoHg.

Calculated values
The total magnetic moment comes out at 0.0000 μB/atom. As for the relative energy among the computed polymorphs: 0.00 kJ per mole of atoms. Its formation enthalpy at 0 K is -136.1 meV/atom. The total DFT energy (no corrections) comes out at -2.357 eV/atom.

```
Ca2HoHg
1.0
-1.786 -1.628 -3.256
-2.822 -1.672 2.384
-4.284 6.178 -0.739
Ca Hg Ho
2 1 1
Direct
0.000 0.000 0.226 Ca
0.000 0.000 0.774 Ca
0.500 0.500 0.000 Hg
0.500 0.500 0.500 Ho
```

=====

The following is a DFT calculation (PBE) of an optimized crystal structure of Pa6Hg.

Calculated values
The total magnetic moment comes out at 1.0196 μB/atom. Its formation enthalpy at 0 K is 1653.0 meV/atom. The total DFT energy (no corrections) comes out at -6.529 eV/atom.

```
Pa6Hg
1.0
-2.202 -1.278 -6.185
0.660 -5.744 3.363
-4.386 3.941 3.157
Pa Hg
6 1
Direct
0.250 0.500 0.750 Pa
0.750 0.250 0.500 Pa
0.500 0.750 0.250 Pa
0.750 0.500 0.250 Pa
0.250 0.750 0.500 Pa
0.500 0.250 0.750 Pa
0.000 0.000 0.000 Hg
```

=====

The following is a DFT calculation (PBE) of an optimized crystal structure of LiPm2Cu12Ni3.

Calculated values
The total magnetic moment comes out at 0.0000 μB/atom. Its formation enthalpy at 0 K is 32.8 meV/atom. The total DFT energy (no corrections) comes out at -4.296 eV/atom.

```
LiPm2Cu12Ni3
1.0
-2.753 1.750 5.475
-2.291 -5.738 1.563
4.792 -1.709 3.838
Ni Cu Li Pm
3 12 1 2
Direct
0.000 0.500 0.000 Ni
0.500 0.000 0.000 Ni
0.000 0.000 0.500 Ni
0.272 0.803 0.803 Cu
0.803 0.803 0.272 Cu
0.846 0.425 0.425 Cu
0.197 0.197 0.728 Cu
0.154 0.575 0.575 Cu
0.425 0.425 0.846 Cu
0.803 0.272 0.803 Cu
0.728 0.197 0.197 Cu
0.575 0.154 0.575 Cu
0.425 0.846 0.425 Cu
0.197 0.728 0.197 Cu
0.575 0.575 0.154 Cu
0.000 0.000 0.000 Li
0.748 0.748 0.748 Pm
0.252 0.252 0.252 Pm
```